No. 1
Below is an optimized crystal structure of CoReSi, with properties calculated at the GGA-PBE level.

The value obtained for the formation energy (no corrections) is 0.078 eV per atom. The calculation puts the relative energy among the computed polymorphs at 0.69 eV per formula unit. The total DFT energy (no corrections) is -0.60623 Ry per atom. The total magnetization comes out at 1.58 μB/f.u.

The space group is F-43m (No. 216) and the conventional cell measures 5.5336, 5.5336 and 5.5336 Å, with angles of 90.00, 90.00 and 90.00 degrees. The inequivalent atoms are Co at (0.0000, 0.0000, 0.0000), Re at (0.2500, 0.2500, 0.2500) and Si at (0.2500, 0.2500, 0.7500).


No. 2
Below is an optimized crystal structure of Co2ReSi2, with properties calculated at the GGA-PBE level.

The value obtained for the formation energy (no corrections) is -0.379 eV per atom. The total DFT energy (no corrections) is -0.57916 Ry per atom. The total magnetization comes out at 0.00 μB/f.u.

The space group is P4/mbm (No. 127) and the conventional cell measures 6.7058, 6.7058 and 2.5988 Å, with angles of 90.00, 90.00 and 90.00 degrees. The inequivalent atoms are Co at (0.1483, 0.3517, 0.0000), Re at (0.0000, 0.0000, 0.5000) and Si at (0.1476, 0.6476, 0.5000).


No. 3
Below is an optimized crystal structure of Co2ReSi, with properties calculated at the GGA-PBE level.

The value obtained for the formation energy (no corrections) is -0.119 eV per atom. The total DFT energy (no corrections) is -0.59823 Ry per atom. The total magnetization comes out at 1.01 μB/f.u.

The space group is P4mm (No. 99) and the conventional cell measures 2.7962, 2.7962 and 6.0954 Å, with angles of 90.00, 90.00 and 90.00 degrees. The inequivalent atoms are Co at (0.0000, 0.0000, 0.0000), Co at (0.5000, 0.5000, 0.2722), Re at (0.0000, 0.0000, 0.5249) and Si at (0.5000, 0.5000, 0.8096).


No. 4
Below is an optimized crystal structure of Co2ReSi, with properties calculated at the GGA-PBE level.

The value obtained for the formation energy (no corrections) is 0.059 eV per atom. The total DFT energy (no corrections) is -0.58514 Ry per atom. The total magnetization comes out at 2.58 μB/f.u.

The space group is C2/m (No. 12) and the conventional cell measures 4.9637, 8.2628 and 2.6065 Å, with angles of 90.00, 112.49 and 90.00 degrees. The inequivalent atoms are Co at (0.2500, 0.2500, 0.0000), Re at (0.0000, 0.0000, 0.5000) and Si at (0.0000, 0.5000, 0.5000).